Crystalline DyCdPb at its relaxed geometry, computed with PBE.

Output
**Space group**: Cmcm (63)
**Formation enthalpy at 0 K**: -29.7 kJ/mol of atoms
**ρ**: 9.89 g cm⁻³
**Calculated volume**: 27.0 Å³ per atom
**VASP energy**: -3.3834 eV per atom

Unit cell a=4.644 b=15.936 c=4.373 alpha=90.00 beta=90.00 gamma=90.00
Atoms (fractional coordinates):
Dy 0.000 0.093 0.250
Dy 0.000 0.907 0.750
Dy 0.500 0.407 0.750
Dy 0.500 0.593 0.250
Cd 0.000 0.257 0.750
Cd 0.000 0.743 0.250
Cd 0.500 0.243 0.250
Cd 0.500 0.757 0.750
Pb 0.000 0.421 0.250
Pb 0.000 0.579 0.750
Pb 0.500 0.079 0.750
Pb 0.500 0.921 0.250


Crystalline DyCd2Pb at its relaxed geometry, computed with PBE.

Output
**Space group**: P4/mmm (123)
**Formation enthalpy at 0 K**: -31.1 kJ/mol of atoms
**ρ**: 9.84 g cm⁻³
**Calculated volume**: 25.1 Å³ per atom
**VASP energy**: -2.8571 eV per atom

Unit cell a=4.522 b=4.522 c=4.906 alpha=90.00 beta=90.00 gamma=90.00
Atoms (fractional coordinates):
Dy 0.000 0.000 0.000
Cd 0.000 0.500 0.500
Cd 0.500 0.000 0.500
Pb 0.500 0.500 0.000


Crystalline Dy2CdPb3 at its relaxed geometry, computed with PBE.

Output
**Space group**: Cmmm (65)
**Formation enthalpy at 0 K**: -37.1 kJ/mol of atoms
**ρ**: 10.72 g cm⁻³
**Calculated volume**: 27.3 Å³ per atom
**VASP energy**: -3.9257 eV per atom

Unit cell a=4.515 b=15.545 c=4.675 alpha=90.00 beta=90.00 gamma=90.00
Atoms (fractional coordinates):
Dy 0.000 0.152 0.000
Dy 0.000 0.848 0.000
Dy 0.500 0.348 0.000
Dy 0.500 0.652 0.000
Cd 0.000 0.000 0.500
Cd 0.500 0.500 0.500
Pb 0.000 0.328 0.500
Pb 0.000 0.500 0.000
Pb 0.000 0.672 0.500
Pb 0.500 0.000 0.000
Pb 0.500 0.172 0.500
Pb 0.500 0.828 0.500


Crystalline Dy2CdPb9 at its relaxed geometry, computed with PBE.

Output
**Space group**: P4/mmm (123)
**Formation enthalpy at 0 K**: -16.1 kJ/mol of atoms
**ρ**: 10.86 g cm⁻³
**Calculated volume**: 29.3 Å³ per atom
**VASP energy**: -3.7914 eV per atom

Unit cell a=4.772 b=4.772 c=15.453 alpha=90.00 beta=90.00 gamma=90.00
Atoms (fractional coordinates):
Dy 0.000 0.000 0.154
Dy 0.000 0.000 0.846
Cd 0.000 0.000 0.500
Pb 0.000 0.500 0.000
Pb 0.000 0.500 0.331
Pb 0.000 0.500 0.669
Pb 0.500 0.000 0.000
Pb 0.500 0.000 0.331
Pb 0.500 0.000 0.669
Pb 0.500 0.500 0.169
Pb 0.500 0.500 0.500
Pb 0.500 0.500 0.831


Crystalline DyCdPb at its relaxed geometry, computed with PBE.

Output
**Space group**: P3m1 (156)
**Formation enthalpy at 0 K**: -26.5 kJ/mol of atoms
**ρ**: 10.03 g cm⁻³
**Calculated volume**: 26.6 Å³ per atom
**VASP energy**: -3.3495 eV per atom

Unit cell a=5.038 b=5.038 c=3.631 alpha=90.00 beta=90.00 gamma=120.00
Atoms (fractional coordinates):
Dy 0.000 0.000 0.000
Cd 0.333 0.667 0.614
Pb 0.667 0.333 0.405


Crystalline Dy3Cd2Pb at its relaxed geometry, computed with PBE.

Output
**Space group**: Cmmm (65)
**Formation enthalpy at 0 K**: -35.8 kJ/mol of atoms
**ρ**: 9.51 g cm⁻³
**Calculated volume**: 26.8 Å³ per atom
**VASP energy**: -3.5954 eV per atom

Unit cell a=5.282 b=15.989 c=3.803 alpha=90.00 beta=90.00 gamma=90.00
Atoms (fractional coordinates):
Dy 0.000 0.000 0.000
Dy 0.000 0.332 0.000
Dy 0.000 0.668 0.000
Dy 0.500 0.168 0.000
Dy 0.500 0.500 0.000
Dy 0.500 0.832 0.000
Cd 0.000 0.174 0.500
Cd 0.000 0.826 0.500
Cd 0.500 0.326 0.500
Cd 0.500 0.674 0.500
Pb 0.000 0.500 0.500
Pb 0.500 0.000 0.500


Crystalline PrDyCdPb at its relaxed geometry, computed with PBE.

Output
**Space group**: F-43m (216)
**Formation enthalpy at 0 K**: -39.2 kJ/mol of atoms
**ρ**: 9.08 g cm⁻³
**Calculated volume**: 28.5 Å³ per atom
**VASP energy**: -3.9078 eV per atom

Unit cell a=7.695 b=7.695 c=7.695 alpha=90.00 beta=90.00 gamma=90.00
Atoms (fractional coordinates):
Pr 0.000 0.000 0.000
Pr 0.000 0.500 0.500
Pr 0.500 0.000 0.500
Pr 0.500 0.500 0.000
Dy 0.000 0.000 0.500
Dy 0.000 0.500 0.000
Dy 0.500 0.000 0.000
Dy 0.500 0.500 0.500
Cd 0.250 0.250 0.250
Cd 0.250 0.750 0.750
Cd 0.750 0.250 0.750
Cd 0.750 0.750 0.250
Pb 0.250 0.250 0.750
Pb 0.250 0.750 0.250
Pb 0.750 0.250 0.250
Pb 0.750 0.750 0.750


Crystalline RbDyCd2Pb2 at its relaxed geometry, computed with PBE.

Output
**Space group**: P-3m1 (164)
**Formation enthalpy at 0 K**: -22.7 kJ/mol of atoms
**ρ**: 7.28 g cm⁻³
**Calculated volume**: 33.7 Å³ per atom
**VASP energy**: -2.7050 eV per atom

Unit cell a=5.005 b=5.005 c=9.327 alpha=90.00 beta=90.00 gamma=120.00
Atoms (fractional coordinates):
Rb 0.000 0.000 0.000
Dy 0.000 0.000 0.500
Cd 0.333 0.667 0.640
Cd 0.667 0.333 0.360
Pb 0.333 0.667 0.273
Pb 0.667 0.333 0.727